[1]
Below is a relaxed structure of CsNdCoSe3, with properties calculated at the PBE level.

Results
The total magnetic moment is 2.13 μB per formula unit. The space group is P2_1/m, No. 11. The calculation puts the total energy at -5.021 eV/atom.

Cell lengths 9.787, 4.168, 10.170 Å; angles 90.00, 110.93, 90.00 degrees
Atoms (fractional coordinates):
Cs 0.212 0.250 0.246
Cs 0.788 0.750 0.754
Nd 0.328 0.750 0.857
Nd 0.672 0.250 0.143
Co 0.074 0.250 0.591
Co 0.926 0.750 0.409
Se 0.109 0.250 0.839
Se 0.174 0.750 0.539
Se 0.468 0.750 0.164
Se 0.532 0.250 0.836
Se 0.826 0.250 0.461
Se 0.891 0.750 0.161

=====

[2]
Below is a relaxed structure of CsCoNi, with properties calculated at the PBE level.

Results
The total magnetic moment is 2.00 μB per formula unit. The space group is F-43m, No. 216. The calculation puts the total energy at -2.902 eV/atom.

Cell lengths 6.481, 6.481, 6.481 Å; angles 90.00, 90.00, 90.00 degrees
Atoms (fractional coordinates):
Cs 0.000 0.000 0.000
Cs 0.000 0.500 0.500
Cs 0.500 0.000 0.500
Cs 0.500 0.500 0.000
Co 0.250 0.250 0.250
Co 0.250 0.750 0.750
Co 0.750 0.250 0.750
Co 0.750 0.750 0.250
Ni 0.000 0.000 0.500
Ni 0.000 0.500 0.000
Ni 0.500 0.000 0.000
Ni 0.500 0.500 0.500